1.
DFT (GGA-PBE) results for a geometry-optimized ZrAl2Se structure.

a b c (Å): 4.647 4.647 3.531
angles (deg): 90.00 90.00 90.00
Fractional coordinates of all 4 atoms:
Al (0.000, 0.000, 0.000)
Al (0.500, 0.500, 0.000)
Zr (0.000, 0.500, 0.500)
Se (0.500, 0.000, 0.500)

Output
Formation energy without anion corrections in eV per atom: -0.2361
Uncorrected energy in eV/cell: -20.46
Fermi-level density of states in states/eV/cell: 2.70
Magnetic moment in μB per atom: 0.000

=====

2.
DFT (GGA-PBE) results for a geometry-optimized Ga2FeH structure.

a b c (Å): 5.990 5.990 4.956
angles (deg): 52.82 52.82 90.00
Site moments in Bohr magnetons follow the coordinates.
Fractional coordinates of all 8 atoms:
H (0.500, 0.500, 0.000)  0.03
H (0.250, 0.750, 0.500)  0.03
Fe (0.000, 0.000, 0.000)  1.90
Fe (0.750, 0.250, 0.500)  1.90
Ga (0.554, 0.125, 0.250)  -0.07
Ga (0.375, 0.446, 0.750)  -0.07
Ga (0.196, 0.625, 0.250)  -0.07
Ga (0.875, 0.804, 0.750)  -0.07

Output
Uncorrected energy in eV/cell: -33.28
Fermi-level density of states in states/eV/cell: 18.67
Relative energy among the computed polymorphs in eV per formula unit: 0.000
Magnetic moment in μB per atom: 0.429

=====

3.
DFT (GGA-PBE) results for a geometry-optimized Sr2GaSn5 structure.

a b c (Å): 6.601 6.601 7.098
angles (deg): 117.71 117.71 90.00
Fractional coordinates of all 8 atoms:
Sn (0.706, 0.213, 0.919)
Sn (0.213, 0.706, 0.919)
Sn (0.706, 0.706, 0.919)
Sn (0.765, 0.765, 0.530)
Sn (0.213, 0.213, 0.919)
Ga (0.271, 0.271, 0.541)
Sr (0.702, 0.202, 0.404)
Sr (0.202, 0.702, 0.404)

Output
Uncorrected energy in eV/cell: -29.52
Fermi-level density of states in states/eV/cell: 2.37
Energy of formation from the pure elements in eV per atom: -0.389
Relative energy among the computed polymorphs in eV per formula unit: 0.000
Magnetic moment in μB per atom: 0.000